Entry from Alexandria via LeMat-Bulk: a PBEsol-optimized structure of TiFeI2 (SCAN).

a = 6.811 Å, b = 6.811 Å, c = 6.811 Å
α = 90.00°, β = 90.00°, γ = 90.00°
Space group Fm-3m (No. 225)
Asymmetric unit:
Ti 0.000 0.000 0.000 x4
Fe 0.000 0.000 0.500 x4
I 0.250 0.250 0.250 x8

Summary:
The uncorrected formation energy is 2.16 eV per formula unit. Its calculated density is 7.5 g/cm3. For the uncorrected energy, the calculation gives -26.37 eV per atom.